A plane-wave DFT calculation with GGA+U was carried out for an optimized crystal structure of Co2PH2CO7.

abc: 7.7486 4.7297 15.1945
angles: 90.00 115.58 90.00
Atoms (fractional coordinates):
O (0.8150, 0.7996, 0.8106)
O (0.8583, 0.3268, 0.7347)
O (0.6100, 0.1422, 0.2926)
O (0.6697, 0.8003, 0.5954)
O (0.7866, 0.3291, 0.5122)
O (0.0346, 0.8620, 0.5872)
O (0.8583, 0.1732, 0.2347)
O (0.3900, 0.8578, 0.7074)
O (0.9654, 0.1380, 0.4128)
O (0.2134, 0.8291, 0.9878)
O (0.6697, 0.6997, 0.0954)
O (0.1417, 0.6732, 0.2653)
O (0.1850, 0.2004, 0.1894)
O (0.3303, 0.1997, 0.4046)
O (0.1417, 0.8268, 0.7653)
O (0.1850, 0.2996, 0.6894)
O (0.2134, 0.6709, 0.4878)
O (0.4356, 0.2588, 0.0678)
O (0.7866, 0.1709, 0.0122)
O (0.0346, 0.6380, 0.0872)
O (0.9654, 0.3620, 0.9128)
O (0.5644, 0.7412, 0.9322)
O (0.6100, 0.3578, 0.7926)
O (0.3900, 0.6422, 0.2074)
O (0.8150, 0.7004, 0.3106)
O (0.4356, 0.2412, 0.5678)
O (0.5644, 0.7588, 0.4322)
O (0.3303, 0.3003, 0.9046)
H (0.8662, 0.2363, 0.4828)
H (0.2958, 0.9741, 0.0347)
H (0.7042, 0.0259, 0.9653)
H (0.1338, 0.7363, 0.0172)
H (0.2958, 0.5259, 0.5347)
H (0.1338, 0.7637, 0.5172)
H (0.7042, 0.4741, 0.4653)
H (0.8662, 0.2637, 0.9828)
P (0.8124, 0.4745, 0.8155)
P (0.8124, 0.0255, 0.3155)
P (0.1876, 0.9745, 0.6845)
P (0.1876, 0.5255, 0.1845)
Co (0.9304, 0.5340, 0.6387)
Co (0.9304, 0.9660, 0.1387)
Co (0.6146, 0.0364, 0.6980)
Co (0.3854, 0.9636, 0.3020)
Co (0.0696, 0.4660, 0.3613)
Co (0.0696, 0.0340, 0.8613)
Co (0.6146, 0.4636, 0.1980)
Co (0.3854, 0.5364, 0.8020)
C (0.5670, 0.8751, 0.5075)
C (0.4330, 0.3751, 0.9925)
C (0.5670, 0.6249, 0.0075)
C (0.4330, 0.1249, 0.4925)

Computed properties:
Spin magnetization ... 24.0 μB per cell
Crystal system ... monoclinic
Total DFT energy (no corrections) ... -6.523 eV per atom